A plane-wave DFT calculation with GGA-PBE was carried out for an optimized crystal structure of LiLaF2.

Lattice parameters (Å, degrees): 6.5058 6.5058 6.5058 135.15 135.15 65.30
Element x y z (fractional)
1 Li 0.0000 0.0000 0.0000
2 Li 0.7500 0.2500 0.5000
3 La 0.2500 0.7500 0.5000
4 La 0.5000 0.5000 0.0000
5 F 0.0056 0.6250 0.8806
6 F 0.3750 0.2556 0.3806
7 F 0.7444 0.1250 0.1194
8 F 0.8750 0.9944 0.6194

Values from the calculation:
- space-group type = No. 122
- relative energy among the computed polymorphs (meV/atom) = 154
- DFT total energy (eV per atom) = -5.018

A plane-wave DFT calculation with GGA-PBE was carried out for an optimized crystal structure of Li3LaF.

Lattice parameters (Å, degrees): 6.1488 6.1488 6.1488 90.00 90.00 90.00
Element x y z (fractional)
1 Li 0.0000 0.0000 0.5000
2 Li 0.0000 0.5000 0.0000
3 Li 0.5000 0.0000 0.0000
4 La 0.0000 0.0000 0.0000
5 F 0.5000 0.5000 0.5000

Values from the calculation:
- space-group type = No. 221
- relative energy among the computed polymorphs (meV/atom) = 1258
- DFT total energy (eV per atom) = -1.832

A plane-wave DFT calculation with GGA-PBE was carried out for an optimized crystal structure of Li2LaF.

Lattice parameters (Å, degrees): 6.2599 6.2599 6.2599 60.00 60.00 60.00
Element x y z (fractional)
1 Li 0.0000 0.0000 0.0000
2 Li 0.0000 0.0000 0.5000
3 Li 0.0000 0.5000 0.0000
4 Li 0.5000 0.0000 0.0000
5 La 0.3750 0.3750 0.3750
6 La 0.6250 0.6250 0.6250
7 F 0.1250 0.1250 0.1250
8 F 0.8750 0.8750 0.8750

Values from the calculation:
- space-group type = No. 227
- relative energy among the computed polymorphs (meV/atom) = 0
- DFT total energy (eV per atom) = -3.698

A plane-wave DFT calculation with GGA-PBE was carried out for an optimized crystal structure of LiLa2F.

Lattice parameters (Å, degrees): 5.1967 5.1967 5.1967 60.00 60.00 60.00
Element x y z (fractional)
1 Li 0.0000 0.0000 0.0000
2 La 0.2500 0.2500 0.2500
3 La 0.7500 0.7500 0.7500
4 F 0.5000 0.5000 0.5000

Values from the calculation:
- space-group type = No. 225
- relative energy among the computed polymorphs (meV/atom) = 422
- DFT total energy (eV per atom) = -4.021

A plane-wave DFT calculation with GGA-PBE was carried out for an optimized crystal structure of LiLaF2.

Lattice parameters (Å, degrees): 7.3938 7.3938 7.3938 27.00 27.00 27.00
Element x y z (fractional)
1 Li 0.0000 0.0000 0.0000
2 La 0.5000 0.5000 0.5000
3 F 0.0844 0.0844 0.0844
4 F 0.9156 0.9156 0.9156

Values from the calculation:
- space-group type = No. 166
- relative energy among the computed polymorphs (meV/atom) = 68
- DFT total energy (eV per atom) = -5.105

A plane-wave DFT calculation with GGA-PBE was carried out for an optimized crystal structure of LiLaF2.

Lattice parameters (Å, degrees): 4.5108 4.5108 4.5108 60.00 60.00 60.00
Element x y z (fractional)
1 Li 0.0000 0.0000 0.0000
2 La 0.5000 0.5000 0.5000
3 F 0.2500 0.2500 0.2500
4 F 0.7500 0.7500 0.7500

Values from the calculation:
- space-group type = No. 225
- relative energy among the computed polymorphs (meV/atom) = 486
- DFT total energy (eV per atom) = -4.686

A plane-wave DFT calculation with GGA-PBE was carried out for an optimized crystal structure of Li5La3F12.

Lattice parameters (Å, degrees): 11.0790 11.0790 11.0790 109.47 109.47 109.47
Element x y z (fractional)
1 Li 0.0000 0.0000 0.0000
2 Li 0.0000 0.0000 0.5000
3 Li 0.0000 0.5000 0.0000
4 Li 0.0000 0.5000 0.5000
5 Li 0.1250 0.7500 0.8750
6 Li 0.1250 0.8750 0.2500
7 Li 0.2500 0.1250 0.8750
8 Li 0.2500 0.6250 0.3750
9 Li 0.3750 0.2500 0.6250
10 Li 0.3750 0.6250 0.7500
11 Li 0.5000 0.0000 0.0000
12 Li 0.5000 0.0000 0.5000
13 Li 0.5000 0.5000 0.0000
14 Li 0.5000 0.5000 0.5000
15 Li 0.6250 0.3750 0.2500
16 Li 0.6250 0.7500 0.3750
17 Li 0.7500 0.3750 0.6250
18 Li 0.7500 0.8750 0.1250
19 Li 0.8750 0.1250 0.7500
20 Li 0.8750 0.2500 0.1250
21 La 0.1250 0.2500 0.3750
22 La 0.1250 0.3750 0.7500
23 La 0.2500 0.3750 0.1250
24 La 0.2500 0.8750 0.6250
25 La 0.3750 0.1250 0.2500
26 La 0.3750 0.7500 0.1250
27 La 0.6250 0.2500 0.8750
28 La 0.6250 0.8750 0.7500
29 La 0.7500 0.1250 0.3750
30 La 0.7500 0.6250 0.8750
31 La 0.8750 0.6250 0.2500
32 La 0.8750 0.7500 0.6250
33 F 0.0193 0.2060 0.1162
34 F 0.0193 0.3133 0.9030
35 F 0.0898 0.7060 0.6867
36 F 0.0898 0.8838 0.4030
37 F 0.0970 0.6162 0.4102
38 F 0.0970 0.9807 0.6867
39 F 0.1162 0.0193 0.2060
40 F 0.1162 0.5970 0.9102
41 F 0.1867 0.2060 0.5898
42 F 0.1867 0.4807 0.5970
43 F 0.2060 0.1162 0.0193
44 F 0.2060 0.5898 0.1867
45 F 0.2940 0.3133 0.9102
46 F 0.2940 0.4807 0.3838
47 F 0.3133 0.9030 0.0193
48 F 0.3133 0.9102 0.2940
49 F 0.3838 0.2940 0.4807
50 F 0.3838 0.5898 0.9030
51 F 0.4030 0.0898 0.8838
52 F 0.4030 0.8133 0.5193
53 F 0.4102 0.0970 0.6162
54 F 0.4102 0.8133 0.7940
55 F 0.4807 0.3838 0.2940
56 F 0.4807 0.5970 0.1867
57 F 0.5193 0.4030 0.8133
58 F 0.5193 0.6162 0.7060
59 F 0.5898 0.1867 0.2060
60 F 0.5898 0.9030 0.3838
61 F 0.5970 0.1867 0.4807
62 F 0.5970 0.9102 0.1162
63 F 0.6162 0.4102 0.0970
64 F 0.6162 0.7060 0.5193
65 F 0.6867 0.0898 0.7060
66 F 0.6867 0.0970 0.9807
67 F 0.7060 0.5193 0.6162
68 F 0.7060 0.6867 0.0898
69 F 0.7940 0.4102 0.8133
70 F 0.7940 0.8838 0.9807
71 F 0.8133 0.5193 0.4030
72 F 0.8133 0.7940 0.4102
73 F 0.8838 0.4030 0.0898
74 F 0.8838 0.9807 0.7940
75 F 0.9030 0.0193 0.3133
76 F 0.9030 0.3838 0.5898
77 F 0.9102 0.1162 0.5970
78 F 0.9102 0.2940 0.3133
79 F 0.9807 0.6867 0.0970
80 F 0.9807 0.7940 0.8838

Values from the calculation:
- space-group type = No. 230
- DFT total energy (eV per atom) = -5.679

A plane-wave DFT calculation with GGA-PBE was carried out for an optimized crystal structure of Li3LaF.

Lattice parameters (Å, degrees): 4.6778 4.6778 4.6778 90.00 90.00 90.00
Element x y z (fractional)
1 Li 0.0000 0.0000 0.5000
2 Li 0.0000 0.5000 0.0000
3 Li 0.5000 0.0000 0.0000
4 La 0.5000 0.5000 0.5000
5 F 0.0000 0.0000 0.0000

Values from the calculation:
- space-group type = No. 221
- relative energy among the computed polymorphs (meV/atom) = 0
- DFT total energy (eV per atom) = -3.089

A plane-wave DFT calculation with GGA-PBE was carried out for an optimized crystal structure of Li2LaF.

Lattice parameters (Å, degrees): 5.0365 5.0365 5.0365 60.00 60.00 60.00
Element x y z (fractional)
1 Li 0.2500 0.2500 0.2500
2 Li 0.7500 0.7500 0.7500
3 La 0.0000 0.0000 0.0000
4 F 0.5000 0.5000 0.5000

Values from the calculation:
- space-group type = No. 225
- relative energy among the computed polymorphs (meV/atom) = 843
- DFT total energy (eV per atom) = -2.855